Compound: Cs3SnAs
Source: Alexandria via LeMat-Bulk
Functional: PBE-GGA
Structure: optimized geometry

```
Cs3SnAs
1.0
6.5252 -5.7869 0.0000
6.5252 5.7869 0.0000
-6.4583 0.0000 7.0607
Cs Sn As
6 2 2
Cartesian
-1.4927 0.0000 2.5789 Cs
2.0673 2.2048 1.5745 Cs
2.0673 -2.2048 1.5745 Cs
4.5247 2.2048 5.4861 Cs
4.5247 -2.2048 5.4861 Cs
8.0847 0.0000 4.4817 Cs
0.8970 0.0000 5.4052 Sn
5.6950 0.0000 1.6555 Sn
-1.7317 0.0000 6.1921 As
8.3237 0.0000 0.8685 As
```

- Calculated formation energy: -1.1 eV per formula unit
- Symmetry: C2/m (12)
- Density of states at the Fermi level: 0.507 states/eV per atom
- Offset from the most stable computed form: 0 meV per atom
- Total energy: -2.46 eV/atom
- Magnetization: 0.46 μB per cell